1.
A plane-wave DFT calculation with GGA-PBE was carried out for a geometry-optimized Cd2ReP structure.

abc: 5.0357 5.0357 2.8810
angles: 90.00 90.00 90.00
Atoms (fractional coordinates):
Re (0.0000, 0.5000, 0.5000)
P (0.5000, 0.0000, 0.5000)
Cd (0.0000, 0.0000, 0.0000)
Cd (0.5000, 0.5000, 0.0000)

Output
DOS(E_F): 3.84 states/eV per cell
ΔH_f (0 K): 0.87 eV per atom
SG: P4/mmm

2.
A plane-wave DFT calculation with GGA-PBE was carried out for a geometry-optimized TlCo2Ni structure.

abc: 4.6724 4.6724 4.6724
angles: 132.33 132.26 69.76
Last column: magnetic moment on the atom in μB.
Atoms (fractional coordinates):
Ni (0.7500, 0.2500, 0.5000)  0.49
Tl (0.2500, 0.7500, 0.5000)  -0.06
Co (0.5000, 0.5000, 0.0000)  1.44
Co (0.0000, 0.0000, 0.0000)  1.44

Output
DOS(E_F): 5.27 states/eV per cell
E above lowest polymorph: 47 meV per atom
ΔH_f (0 K): 0.40 eV per atom
SG: I4/mmm

3.
A plane-wave DFT calculation with GGA-PBE was carried out for a geometry-optimized ErTm2S4 structure.

abc: 7.7586 7.6834 7.6834
angles: 60.48 59.68 59.68
Atoms (fractional coordinates):
Tm (0.0000, 0.5000, 0.5000)
Tm (0.0000, 0.0000, 0.5000)
Tm (0.0000, 0.0000, 0.0000)
Tm (0.5000, 0.0000, 0.5000)
S (0.2522, 0.7490, 0.7467)
S (0.2411, 0.7506, 0.2506)
S (0.2423, 0.2494, 0.7494)
S (0.7589, 0.2494, 0.7494)
S (0.7478, 0.2510, 0.2533)
S (0.2522, 0.2467, 0.2490)
S (0.7478, 0.7533, 0.7510)
S (0.7577, 0.7506, 0.2506)
Er (0.0000, 0.5000, 0.0000)
Er (0.5000, 0.5000, 0.0000)

Output
DOS(E_F): 3.50 states/eV per cell
formation energy from raw total energies: -1395 kJ/mol of formula units
E above lowest polymorph: 0 meV per atom
SG: Imma

4.
A plane-wave DFT calculation with GGA-PBE was carried out for a geometry-optimized Be2TcW structure.

abc: 2.6766 2.6766 6.7759
angles: 90.00 90.00 99.39
Atoms (fractional coordinates):
Be (0.0000, 0.0000, 0.4918)
Be (0.0000, 0.0000, 0.0082)
Tc (0.5000, 0.5000, 0.2500)
W (0.5000, 0.5000, 0.7500)

Output
DOS(E_F): 2.29 states/eV per cell
E above lowest polymorph: 349 meV per atom
ΔH_f (0 K): 0.13 eV per atom
SG: Cmmm